The following is a GGA-PBE calculation of a relaxed Cr2FeRe crystal, from Alexandria via LeMat-Bulk.

abc: 8.3208 8.3208 8.3208
angles: 18.51 18.51 18.51
Each line ends with the local moment (μB).
Positions (direct):
1 Fe 0.5046 0.5046 0.5046  1.76
2 Cr 0.2500 0.2500 0.2500  -0.11
3 Cr 0.9953 0.9953 0.9953  0.59
4 Re 0.7500 0.7500 0.7500  -0.05

DFT formation energy: 1.134 eV per formula unit
Offset from the most stable computed form: 206.5 meV per atom

=====

The following is a GGA-PBE calculation of a relaxed TcIr4Os crystal, from Alexandria via LeMat-Bulk.

abc: 2.7410 7.2860 8.8605
angles: 90.00 90.00 100.84
Positions (direct):
1 Ir 0.1123 0.2246 0.5184
2 Ir 0.0014 0.0028 0.7697
3 Ir 0.5567 0.1134 0.0193
4 Ir 0.8877 0.7754 0.0184
5 Ir 0.4433 0.8866 0.5193
6 Ir 0.6745 0.3490 0.2659
7 Ir 0.9986 0.9972 0.2697
8 Ir 0.3255 0.6510 0.7659
9 Tc 0.6639 0.3279 0.7690
10 Tc 0.3361 0.6721 0.2690
11 Os 0.2234 0.4469 0.0188
12 Os 0.7766 0.5531 0.5188

DFT formation energy: -0.417 eV per formula unit
Offset from the most stable computed form: 0.0 meV per atom

=====

The following is a GGA-PBE calculation of a relaxed Na12SnHg3 crystal, from Alexandria via LeMat-Bulk.

abc: 4.8939 4.8939 19.4176
angles: 90.00 90.00 90.00
Positions (direct):
1 Na 0.5000 0.5000 0.2502
2 Na 0.0000 0.5000 0.3753
3 Na 0.5000 0.0000 0.1222
4 Na 0.5000 0.0000 0.6247
5 Na 0.5000 0.0000 0.3753
6 Na 0.5000 0.5000 0.7498
7 Na 0.0000 0.5000 0.8778
8 Na 0.5000 0.5000 0.5000
9 Na 0.5000 0.5000 0.0000
10 Na 0.5000 0.0000 0.8778
11 Na 0.0000 0.5000 0.6247
12 Na 0.0000 0.5000 0.1222
13 Hg 0.0000 0.0000 0.7517
14 Hg 0.0000 0.0000 0.5000
15 Hg 0.0000 0.0000 0.2483
16 Sn 0.0000 0.0000 0.0000

DFT formation energy: -2.102 eV per formula unit

=====

The following is a GGA-PBE calculation of a relaxed Pr3TmTl4 crystal, from Alexandria via LeMat-Bulk.

abc: 3.7738 7.3741 10.1135
angles: 111.38 100.75 90.00
Positions (direct):
1 Tl 0.3750 0.5906 0.7501
2 Tl 0.3749 0.1591 0.7499
3 Tl 0.6251 0.8409 0.2501
4 Tl 0.6250 0.4094 0.2499
5 Pr 0.0000 0.5000 0.0000
6 Pr 0.2159 0.2162 0.4318
7 Pr 0.7841 0.7838 0.5682
8 Tm 0.5000 0.0000 0.0000

DFT formation energy: -1.885 eV per formula unit
Offset from the most stable computed form: 141.1 meV per atom

=====

The following is a GGA-PBE calculation of a relaxed Y2CrCu crystal, from Alexandria via LeMat-Bulk.

abc: 6.8226 6.8226 6.8226
angles: 35.84 35.84 35.84
Each line ends with the local moment (μB).
Positions (direct):
1 Cr 0.4574 0.4574 0.4574  2.68
2 Y 0.2183 0.2183 0.2183  -0.10
3 Y 0.0301 0.0301 0.0301  -0.16
4 Cu 0.7941 0.7941 0.7941  0.07

DFT formation energy: 0.840 eV per formula unit

=====

The following is a GGA-PBE calculation of a relaxed PdSe2Br6 crystal, from Alexandria via LeMat-Bulk.

abc: 6.4280 11.0986 11.0986
angles: 107.16 99.29 99.29
Positions (direct):
1 Se 0.2935 0.5180 0.6591
2 Se 0.7065 0.4820 0.3409
3 Se 0.2065 0.3409 0.4820
4 Se 0.7935 0.6591 0.5180
5 Br 0.9891 0.1627 0.0582
6 Br 0.5660 0.8019 0.4804
7 Br 0.4891 0.0582 0.1627
8 Br 0.0660 0.4804 0.8019
9 Br 0.4340 0.1981 0.5196
10 Br 0.0434 0.0276 0.7341
11 Br 0.5434 0.7341 0.0276
12 Br 0.0109 0.8373 0.9418
13 Br 0.4566 0.2659 0.9724
14 Br 0.9340 0.5196 0.1981
15 Br 0.5109 0.9418 0.8373
16 Br 0.9566 0.9724 0.2659
17 Pd 0.7500 0.9496 0.0504
18 Pd 0.2500 0.0504 0.9496

Offset from the most stable computed form: 101.0 meV per atom

=====

The following is a GGA-PBE calculation of a relaxed RbBaSr2 crystal, from Alexandria via LeMat-Bulk.

abc: 4.3370 4.3370 13.5476
angles: 90.00 90.00 89.90
Positions (direct):
1 Rb 0.5000 0.5000 0.7500
2 Sr 0.0000 0.0000 0.0173
3 Sr 0.0000 0.0000 0.4827
4 Ba 0.5000 0.5000 0.2500

DFT formation energy: 0.296 eV per formula unit
Offset from the most stable computed form: 2.5 meV per atom

=====

The following is a GGA-PBE calculation of a relaxed LaW crystal, from Alexandria via LeMat-Bulk.

abc: 8.7424 8.7424 8.7424
angles: 90.00 90.00 90.00
Positions (direct):
1 W 0.8956 0.1044 0.1044
2 W 0.6044 0.3956 0.6044
3 W 0.1044 0.8956 0.1044
4 W 0.6044 0.6044 0.3956
5 W 0.3956 0.6044 0.6044
6 W 0.8956 0.8956 0.8956
7 W 0.3956 0.3956 0.3956
8 W 0.1044 0.1044 0.8956
9 La 0.2222 0.7778 0.7778
10 La 0.2222 0.2222 0.2222
11 La 0.7778 0.2222 0.7778
12 La 0.7222 0.7222 0.7222
13 La 0.2778 0.2778 0.7222
14 La 0.7222 0.2778 0.2778
15 La 0.2778 0.7222 0.2778
16 La 0.7778 0.7778 0.2222

DFT formation energy: 2.917 eV per formula unit
Offset from the most stable computed form: 1114.0 meV per atom

=====

Respective uncorrected energy values: -39.02 -114.91 -22.84 -30.16 -25.81 -46.28 -5.96 -119.71 eV for the cell shown.
Respective DOS at the Fermi energy values: 6.08 11.19 5.18 6.79 4.89 0.29 3.97 14.39 states/eV/cell.